Material: Na3NiSb
Method: DFT, PBE
State: relaxed

ΔE to the lowest computed polymorph	0.00	eV/f.u.
D(E_F)	5.684	states/eV/f.u.
E_tot	-2.31	eV/atom
magnetization	1.529	μB/f.u.

Lattice parameters (Å, degrees): 5.2363 5.2363 5.2363 90.00 90.00 90.00
Fractional positions:
Ni  0.0000  0.0000  0.0000
Sb  0.5000  0.5000  0.5000
Na  0.5000  0.0000  0.0000
Na  0.0000  0.0000  0.5000
Na  0.0000  0.5000  0.0000

***

Material: Na3NiSb
Method: DFT, PBE
State: relaxed

ΔE to the lowest computed polymorph	0.54	eV/f.u.
D(E_F)	7.828	states/eV/f.u.
E_tot	-2.20	eV/atom
magnetization	1.497	μB/f.u.

Lattice parameters (Å, degrees): 5.8591 5.8591 5.8591 90.00 90.00 90.00
Fractional positions:
Ni  0.5000  0.5000  0.5000
Na  0.0000  0.0000  0.5000
Na  0.0000  0.5000  0.0000
Sb  0.0000  0.0000  0.0000
Na  0.5000  0.0000  0.0000

***

Material: NaNiSb3
Method: DFT, PBE
State: relaxed

ΔE to the lowest computed polymorph	0.00	eV/f.u.
D(E_F)	2.551	states/eV/f.u.
E_tot	-4.06	eV/atom
magnetization	0.000	μB/f.u.

Lattice parameters (Å, degrees): 5.9215 5.9474 6.8626 90.00 90.01 90.00
Fractional positions:
Sb  0.9653  0.4949  0.9497
Sb  0.4652  0.8580  0.9518
Sb  0.9653  0.4948  0.4517
Ni  0.6591  0.5943  0.2007
Sb  0.8610  0.0595  0.7008
Sb  0.4653  0.8579  0.4497
Na  0.9274  0.0027  0.2008
Ni  0.1591  0.7585  0.7007
Sb  0.3610  0.2932  0.2008
Na  0.4275  0.3501  0.7009

***

Material: NaNi2Sb
Method: DFT, PBE
State: relaxed

D(E_F)	2.144	states/eV/f.u.
E_tot	-3.90	eV/atom
magnetization	0.000	μB/f.u.

Lattice parameters (Å, degrees): 7.2235 7.2235 5.8668 52.00 52.00 90.00
Fractional positions:
Ni  0.8750  0.9162  0.7500
Ni  0.0838  0.6250  0.2500
Sb  0.7500  0.2500  0.5000
Ni  0.3750  0.3338  0.7500
Sb  0.0000  0.0000  0.0000
Ni  0.6662  0.1250  0.2500
Na  0.5000  0.5000  0.0000
Na  0.2500  0.7500  0.5000

***

Material: Na2NiSb2
Method: DFT, PBE
State: relaxed

ΔE to the lowest computed polymorph	0.19	eV/f.u.
D(E_F)	3.521	states/eV/f.u.
E_tot	-3.57	eV/atom
magnetization	0.000	μB/f.u.

Lattice parameters (Å, degrees): 4.1385 6.2110 6.2110 60.59 70.54 70.54
Fractional positions:
Na  0.2056  0.2944  0.2944
Na  0.7944  0.7056  0.7056
Ni  0.0000  0.0000  0.0000
Sb  0.5000  0.2399  0.7601
Sb  0.5000  0.7601  0.2399

***

Material: NaNi4Sb2
Method: DFT, PBE
State: relaxed

D(E_F)	5.559	states/eV/f.u.
E_tot	-4.82	eV/atom
magnetization	0.000	μB/f.u.

Lattice parameters (Å, degrees): 4.0270 7.5027 7.5027 90.00 90.00 90.00
Fractional positions:
Ni  0.5000  0.1431  0.5893
Ni  0.5000  0.8569  0.4107
Na  0.0000  0.5000  0.5000
Ni  0.5000  0.5893  0.1431
Sb  0.5000  0.7220  0.7220
Sb  0.0000  0.7780  0.2220
Ni  0.0000  0.0893  0.3569
Na  0.5000  0.0000  0.0000
Ni  0.5000  0.4107  0.8569
Ni  0.0000  0.9107  0.6431
Sb  0.5000  0.2780  0.2780
Ni  0.0000  0.6431  0.9107
Sb  0.0000  0.2220  0.7780
Ni  0.0000  0.3569  0.0893

***

Material: Na2NiSb2
Method: DFT, PBE
State: relaxed

ΔE to the lowest computed polymorph	0.00	eV/f.u.
D(E_F)	3.157	states/eV/f.u.
E_tot	-3.61	eV/atom
magnetization	0.000	μB/f.u.

Lattice parameters (Å, degrees): 4.5710 6.0481 9.6378 85.86 76.28 67.80
Fractional positions:
Sb  0.0951  0.2462  0.5636
Sb  0.6374  0.8566  0.8686
Ni  0.6439  0.0780  0.6343
Na  0.9104  0.2767  0.9025
Ni  0.3561  0.9220  0.3657
Sb  0.9049  0.7538  0.4364
Na  0.6617  0.3513  0.3252
Sb  0.3626  0.1434  0.1314
Na  0.3383  0.6487  0.6748
Na  0.0896  0.7233  0.0975

***

Material: Na2NiSb2
Method: DFT, PBE
State: relaxed

ΔE to the lowest computed polymorph	0.07	eV/f.u.
D(E_F)	2.069	states/eV/f.u.
E_tot	-3.59	eV/atom
magnetization	0.000	μB/f.u.

Lattice parameters (Å, degrees): 6.7602 6.7602 5.2245 90.00 90.00 90.00
Fractional positions:
Na  0.3313  0.1687  0.5000
Ni  0.5000  0.5000  0.0000
Sb  0.8463  0.6537  0.0000
Na  0.6687  0.8313  0.5000
Sb  0.6537  0.1537  0.0000
Na  0.8313  0.3313  0.5000
Sb  0.3463  0.8463  0.0000
Sb  0.1537  0.3463  0.0000
Ni  0.0000  0.0000  0.0000
Na  0.1687  0.6687  0.5000

***

Material: NaNi3Sb2
Method: DFT, PBE
State: relaxed

D(E_F)	4.513	states/eV/f.u.
E_tot	-4.66	eV/atom
magnetization	0.000	μB/f.u.

Lattice parameters (Å, degrees): 3.8424 7.8004 8.4446 110.83 90.00 104.26
Fractional positions:
Ni  0.9499  0.8998  0.5906
Ni  0.3121  0.6241  0.5282
Ni  0.5738  0.1475  0.6308
Sb  0.1956  0.3912  0.6869
Sb  0.8044  0.6088  0.3131
Ni  0.4262  0.8524  0.3692
Ni  0.6879  0.3759  0.4718
Ni  0.0501  0.1002  0.4094
Na  0.8530  0.7059  0.9776
Sb  0.4636  0.9271  0.7918
Sb  0.5364  0.0729  0.2082
Na  0.1470  0.2941  0.0224

***

Material: NaNiSb3
Method: DFT, PBE
State: relaxed

ΔE to the lowest computed polymorph	7.00	eV/f.u.
D(E_F)	5.569	states/eV/f.u.
E_tot	-2.66	eV/atom
magnetization	0.835	μB/f.u.

Lattice parameters (Å, degrees): 5.2852 5.2852 5.2852 90.00 90.00 90.00
Fractional positions:
Sb  0.5000  0.0000  0.0000
Na  0.0000  0.0000  0.0000
Sb  0.0000  0.0000  0.5000
Sb  0.0000  0.5000  0.0000
Ni  0.5000  0.5000  0.5000

***

Material: NaNiSb
Method: DFT, PBE
State: relaxed

D(E_F)	2.434	states/eV/f.u.
E_tot	-3.85	eV/atom
magnetization	0.000	μB/f.u.

Lattice parameters (Å, degrees): 4.4057 4.2659 4.2659 120.00 90.00 90.00
Fractional positions:
Na  0.6667  0.3333  0.6667
Ni  0.1666  0.6667  0.3333
Sb  0.1667  0.0000  0.0000

***

Material: NaNi3Sb
Method: DFT, PBE
State: relaxed

ΔE to the lowest computed polymorph	0.00	eV/f.u.
D(E_F)	18.223	states/eV/f.u.
E_tot	-3.98	eV/atom
magnetization	0.005	μB/f.u.

Lattice parameters (Å, degrees): 4.7463 4.7463 4.7463 90.00 90.00 90.00
Fractional positions:
Ni  0.0000  0.5000  0.0000
Na  0.5000  0.5000  0.5000
Sb  0.0000  0.0000  0.0000
Ni  0.0000  0.0000  0.5000
Ni  0.5000  0.0000  0.0000

***

Material: NaNiSb3
Method: DFT, PBE
State: relaxed

ΔE to the lowest computed polymorph	1.33	eV/f.u.
D(E_F)	5.151	states/eV/f.u.
E_tot	-3.80	eV/atom
magnetization	0.000	μB/f.u.

Lattice parameters (Å, degrees): 5.1133 5.1133 5.1133 90.00 90.00 90.00
Fractional positions:
Ni  0.0000  0.0000  0.0000
Sb  0.0000  0.5000  0.0000
Sb  0.0000  0.0000  0.5000
Na  0.5000  0.5000  0.5000
Sb  0.5000  0.0000  0.0000

***

Material: NaNiSb
Method: DFT, PBE
State: relaxed

D(E_F)	1.015	states/eV/f.u.
E_tot	-3.92	eV/atom
magnetization	0.000	μB/f.u.

Lattice parameters (Å, degrees): 3.4111 4.4030 10.3614 78.89 80.53 67.21
Fractional positions:
Ni  0.8419  0.7665  0.5498
Na  0.8255  0.2055  0.1435
Sb  0.4782  0.6922  0.3515
Sb  0.5218  0.3078  0.6485
Ni  0.1581  0.2335  0.4502
Na  0.1745  0.7945  0.8565

***

Material: NaNiSbSe2
Method: DFT, PBE
State: relaxed

D(E_F)	12.736	states/eV/f.u.
E_tot	-2.83	eV/atom
magnetization	1.532	μB/f.u.

Lattice parameters (Å, degrees): 5.4264 5.5071 5.4264 90.00 90.00 90.00
Fractional positions:
Na  0.0000  0.5000  0.0000
Se  0.0000  0.0000  0.5000
Ni  0.5000  0.5000  0.5000
Sb  0.0000  0.0000  0.0000
Se  0.5000  0.0000  0.0000

***

Material: NaTcNiSb2
Method: DFT, PBE
State: relaxed

D(E_F)	3.815	states/eV/f.u.
E_tot	-4.39	eV/atom
magnetization	3.113	μB/f.u.

Lattice parameters (Å, degrees): 4.9063 4.6967 4.9063 90.00 90.00 90.00
Fractional positions:
Sb  0.0000  0.0000  0.5000
Tc  0.5000  0.5000  0.5000
Ni  0.0000  0.0000  0.0000
Na  0.0000  0.5000  0.0000
Sb  0.5000  0.0000  0.0000

***

Material: NaNiSb2Te
Method: DFT, PBE
State: relaxed

ΔE to the lowest computed polymorph	5.79	eV/f.u.
D(E_F)	8.062	states/eV/f.u.
E_tot	-2.52	eV/atom
magnetization	0.676	μB/f.u.

Lattice parameters (Å, degrees): 5.3132 5.3132 5.3689 90.00 90.00 90.00
Fractional positions:
Na  0.0000  0.0000  0.0000
Sb  0.5000  0.0000  0.0000
Sb  0.0000  0.5000  0.0000
Ni  0.5000  0.5000  0.5000
Te  0.0000  0.0000  0.5000

***

Material: NaNiSb2Te
Method: DFT, PBE
State: relaxed

ΔE to the lowest computed polymorph	0.00	eV/f.u.
D(E_F)	3.013	states/eV/f.u.
E_tot	-3.68	eV/atom
magnetization	0.000	μB/f.u.

Lattice parameters (Å, degrees): 4.9486 4.9486 5.6308 90.00 90.00 90.00
Fractional positions:
Sb  0.5000  0.0000  0.0000
Na  0.5000  0.5000  0.5000
Sb  0.0000  0.5000  0.0000
Te  0.0000  0.0000  0.5000
Ni  0.0000  0.0000  0.0000

***

Material: NaNiSb2W
Method: DFT, PBE
State: relaxed

D(E_F)	5.089	states/eV/f.u.
E_tot	-5.09	eV/atom
magnetization	0.000	μB/f.u.

Lattice parameters (Å, degrees): 5.2294 4.8051 5.2294 90.00 90.00 90.00
Fractional positions:
Na  0.5000  0.5000  0.5000
Ni  0.0000  0.5000  0.0000
W  0.0000  0.0000  0.0000
Sb  0.5000  0.0000  0.0000
Sb  0.0000  0.0000  0.5000

***

Material: NaSc2Ni
Method: DFT, PBE
State: relaxed

ΔE to the lowest computed polymorph	0.00	eV/f.u.
calculated formation energy	35	meV per atom
D(E_F)	3.655	states/eV/f.u.
E_tot	-4.91	eV/atom
magnetization	0.000	μB/f.u.

Lattice parameters (Å, degrees): 9.9788 9.9788 9.9788 20.91 20.91 20.91
Fractional positions:
Ni  0.5000  0.5000  0.5000
Sc  0.8807  0.8807  0.8807
Na  0.0000  0.0000  0.0000
Sc  0.1193  0.1193  0.1193